Entry from Alexandria via LeMat-Bulk: an optimized crystal structure of ErTh2ScSb5 (PBE-GGA).

Volume (Å³/atom): 34.3
E_form (uncorrected) (eV/atom): -0.172
N(E_F) (states/eV/atom): 0.685

abc: 5.270 5.270 11.123
angles: 90.00 90.00 90.00
Element x y z (fractional)
Sb (0.500, 0.000, 0.500)
Th (0.500, 0.500, 0.298)
Sb (0.500, 0.500, 0.000)
Sb (0.000, 0.000, 0.759)
Th (0.500, 0.500, 0.702)
Sc (0.000, 0.000, 0.000)
Sb (0.000, 0.000, 0.241)
Sb (0.000, 0.500, 0.500)
Er (0.000, 0.000, 0.500)